(1)
# Rb3AsAu, optimized geometry, DFT PBE-GGA
data_Rb3AsAu
_chemical_formula_sum 'Rb12 As4 Au4'
_cell_length_a 7.171
_cell_length_b 10.046
_cell_length_c 11.148
_cell_angle_alpha 90.00
_cell_angle_beta 90.01
_cell_angle_gamma 90.00
_space_group_name_H-M_alt 'P 1'
_space_group_IT_number 1
_space_group_name_Hall 'P 1'
loop_
_atom_site_label
_atom_site_type_symbol
_atom_site_fract_x
_atom_site_fract_y
_atom_site_fract_z
Rb1 Rb 0.236 0.044 0.121
Rb2 Rb 0.236 0.456 0.621
Rb3 Rb 0.238 0.043 0.629
Rb4 Rb 0.238 0.457 0.129
Rb5 Rb 0.238 0.739 0.875
Rb6 Rb 0.238 0.761 0.375
Rb7 Rb 0.762 0.239 0.625
Rb8 Rb 0.762 0.261 0.125
Rb9 Rb 0.762 0.543 0.871
Rb10 Rb 0.762 0.957 0.371
Rb11 Rb 0.764 0.544 0.379
Rb12 Rb 0.764 0.956 0.879
As1 As 0.074 0.246 0.375
As2 As 0.074 0.254 0.875
As3 As 0.926 0.746 0.125
As4 As 0.926 0.754 0.625
Au1 Au 0.426 0.247 0.375
Au2 Au 0.426 0.253 0.875
Au3 Au 0.574 0.747 0.125
Au4 Au 0.574 0.753 0.625
# - Calculated volume: 803.1 Å³/cell
# - Theoretical density: 4.4 g cm⁻³
# - E_tot: -2.455 eV per atom

(2)
# Bi2PtO, optimized geometry, DFT PBE-GGA
data_Bi2PtO
_chemical_formula_sum 'Bi4 Pt2 O2'
_cell_length_a 7.242
_cell_length_b 7.242
_cell_length_c 7.242
_cell_angle_alpha 132.52
_cell_angle_beta 132.52
_cell_angle_gamma 69.40
_space_group_name_H-M_alt 'P 1'
_space_group_IT_number 1
_space_group_name_Hall 'P 1'
loop_
_atom_site_label
_atom_site_type_symbol
_atom_site_fract_x
_atom_site_fract_y
_atom_site_fract_z
Bi1 Bi 0.081 0.625 0.956
Bi2 Bi 0.375 0.331 0.456
Bi3 Bi 0.669 0.125 0.044
Bi4 Bi 0.875 0.919 0.544
Pt1 Pt 0.250 0.750 0.500
Pt2 Pt 0.500 0.500 0.000
O1 O 0.000 0.000 0.000
O2 O 0.750 0.250 0.500
# - Calculated volume: 202.4 Å³/cell
# - ΔE_f (raw): -1.365 eV per formula unit
# - Theoretical density: 10.3 g cm⁻³

(3)
# CeTa6S8, optimized geometry, DFT PBE-GGA
data_CeTa6S8
_chemical_formula_sum 'Ce1 Ta6 S8'
_cell_length_a 6.629
_cell_length_b 6.629
_cell_length_c 6.629
_cell_angle_alpha 87.62
_cell_angle_beta 87.62
_cell_angle_gamma 87.62
_space_group_name_H-M_alt 'P 1'
_space_group_IT_number 1
_space_group_name_Hall 'P 1'
loop_
_atom_site_label
_atom_site_type_symbol
_atom_site_fract_x
_atom_site_fract_y
_atom_site_fract_z
Ce1 Ce 0.000 0.000 0.000
Ta1 Ta 0.203 0.558 0.409
Ta2 Ta 0.409 0.203 0.558
Ta3 Ta 0.442 0.591 0.797
Ta4 Ta 0.558 0.409 0.203
Ta5 Ta 0.591 0.797 0.442
Ta6 Ta 0.797 0.442 0.591
S1 S 0.131 0.392 0.756
S2 S 0.233 0.233 0.233
S3 S 0.244 0.869 0.608
S4 S 0.392 0.756 0.131
S5 S 0.608 0.244 0.869
S6 S 0.756 0.131 0.392
S7 S 0.767 0.767 0.767
S8 S 0.869 0.608 0.244
# - Calculated volume: 290.5 Å³/cell
# - ΔE_f (raw): -14.368 eV per formula unit
# - Theoretical density: 8.5 g cm⁻³

(4)
# BeCrSi2, optimized geometry, DFT PBE-GGA
data_BeCrSi2
_chemical_formula_sum 'Be1 Cr1 Si2'
_cell_length_a 4.391
_cell_length_b 4.391
_cell_length_c 4.391
_cell_angle_alpha 137.01
_cell_angle_beta 127.89
_cell_angle_gamma 69.78
_space_group_name_H-M_alt 'P 1'
_space_group_IT_number 1
_space_group_name_Hall 'P 1'
loop_
_atom_site_label
_atom_site_type_symbol
_atom_site_fract_x
_atom_site_fract_y
_atom_site_fract_z
Be1 Be 0.000 0.000 0.000
Cr1 Cr 0.500 0.500 0.000
Si1 Si 0.243 0.743 0.500
Si2 Si 0.757 0.257 0.500
# - Calculated volume: 44.7 Å³/cell
# - ΔE_f (raw): -0.060 eV per formula unit
# - Theoretical density: 4.4 g cm⁻³

(5)
# Mg8NiPt2, optimized geometry, DFT PBE-GGA
data_Mg8NiPt2
_chemical_formula_sum 'Mg8 Ni1 Pt2'
_cell_length_a 7.969
_cell_length_b 7.969
_cell_length_c 6.402
_cell_angle_alpha 111.40
_cell_angle_beta 111.40
_cell_angle_gamma 32.80
_space_group_name_H-M_alt 'P 1'
_space_group_IT_number 1
_space_group_name_Hall 'P 1'
loop_
_atom_site_label
_atom_site_type_symbol
_atom_site_fract_x
_atom_site_fract_y
_atom_site_fract_z
Mg1 Mg 0.021 0.021 0.278
Mg2 Mg 0.193 0.193 0.774
Mg3 Mg 0.338 0.338 0.565
Mg4 Mg 0.397 0.397 0.064
Mg5 Mg 0.603 0.603 0.936
Mg6 Mg 0.662 0.662 0.435
Mg7 Mg 0.807 0.807 0.226
Mg8 Mg 0.979 0.979 0.722
Ni1 Ni 0.500 0.500 0.500
Pt1 Pt 0.180 0.180 0.182
Pt2 Pt 0.820 0.820 0.818
# - Calculated volume: 203.7 Å³/cell
# - Theoretical density: 5.2 g cm⁻³
# - E_tot: -3.215 eV per atom

(6)
# Cd4P, optimized geometry, DFT PBE-GGA
data_Cd4P
_chemical_formula_sum 'Cd4 P1'
_cell_length_a 5.221
_cell_length_b 5.221
_cell_length_c 5.221
_cell_angle_alpha 90.00
_cell_angle_beta 90.00
_cell_angle_gamma 90.00
_space_group_name_H-M_alt 'P 1'
_space_group_IT_number 1
_space_group_name_Hall 'P 1'
loop_
_atom_site_label
_atom_site_type_symbol
_atom_site_fract_x
_atom_site_fract_y
_atom_site_fract_z
Cd1 Cd 0.000 0.000 0.000
Cd2 Cd 0.000 0.500 0.500
Cd3 Cd 0.500 0.000 0.500
Cd4 Cd 0.500 0.500 0.000
P1 P 0.500 0.500 0.500
# - Calculated volume: 142.3 Å³/cell
# - Theoretical density: 5.6 g cm⁻³
# - E_tot: -1.511 eV per atom

(7)
# LaGa4OsPd2, optimized geometry, DFT PBE-GGA
data_LaGa4OsPd2
_chemical_formula_sum 'La1 Ga4 Os1 Pd2'
_cell_length_a 9.430
_cell_length_b 9.430
_cell_length_c 9.430
_cell_angle_alpha 26.36
_cell_angle_beta 26.36
_cell_angle_gamma 26.36
_space_group_name_H-M_alt 'P 1'
_space_group_IT_number 1
_space_group_name_Hall 'P 1'
loop_
_atom_site_label
_atom_site_type_symbol
_atom_site_fract_x
_atom_site_fract_y
_atom_site_fract_z
La1 La 0.000 0.000 0.000
Ga1 Ga 0.135 0.135 0.135
Ga2 Ga 0.403 0.403 0.403
Ga3 Ga 0.597 0.597 0.597
Ga4 Ga 0.865 0.865 0.865
Os1 Os 0.500 0.500 0.500
Pd1 Pd 0.234 0.234 0.234
Pd2 Pd 0.766 0.766 0.766
# - Calculated volume: 145.7 Å³/cell
# - Theoretical density: 9.4 g cm⁻³
# - E_tot: -5.329 eV per atom

(8)
# MnCuTe2, optimized geometry, DFT PBE-GGA
data_MnCuTe2
_chemical_formula_sum 'Mn1 Cu1 Te2'
_cell_length_a 8.251
_cell_length_b 8.251
_cell_length_c 8.251
_cell_angle_alpha 28.46
_cell_angle_beta 28.46
_cell_angle_gamma 28.46
_space_group_name_H-M_alt 'P 1'
_space_group_IT_number 1
_space_group_name_Hall 'P 1'
loop_
_atom_site_label
_atom_site_type_symbol
_atom_site_fract_x
_atom_site_fract_y
_atom_site_fract_z
Mn1 Mn 0.000 0.000 0.000
Cu1 Cu 0.500 0.500 0.500
Te1 Te 0.397 0.397 0.397
Te2 Te 0.603 0.603 0.603
# - Calculated volume: 112.7 Å³/cell
# - ΔE_f (raw): 0.093 eV per formula unit
# - Theoretical density: 5.5 g cm⁻³

(9)
# NaSrCd6, optimized geometry, DFT PBE-GGA
data_NaSrCd6
_chemical_formula_sum 'Na1 Sr1 Cd6'
_cell_length_a 5.136
_cell_length_b 6.740
_cell_length_c 6.740
_cell_angle_alpha 64.48
_cell_angle_beta 90.00
_cell_angle_gamma 90.00
_space_group_name_H-M_alt 'P 1'
_space_group_IT_number 1
_space_group_name_Hall 'P 1'
loop_
_atom_site_label
_atom_site_type_symbol
_atom_site_fract_x
_atom_site_fract_y
_atom_site_fract_z
Na1 Na 0.000 0.000 0.000
Sr1 Sr 0.500 0.289 0.289
Cd1 Cd 0.000 0.479 0.479
Cd2 Cd 0.000 0.518 0.941
Cd3 Cd 0.000 0.941 0.518
Cd4 Cd 0.500 0.340 0.772
Cd5 Cd 0.500 0.772 0.340
Cd6 Cd 0.500 0.819 0.819
# - Calculated volume: 210.5 Å³/cell
# - Theoretical density: 6.2 g cm⁻³
# - E_tot: -1.216 eV per atom

(10)
# Pa2FeBi2, optimized geometry, DFT PBE-GGA
data_Pa2FeBi2
_chemical_formula_sum 'Pa4 Fe2 Bi4'
_cell_length_a 12.473
_cell_length_b 12.473
_cell_length_c 12.473
_cell_angle_alpha 158.93
_cell_angle_beta 158.93
_cell_angle_gamma 29.97
_space_group_name_H-M_alt 'P 1'
_space_group_IT_number 1
_space_group_name_Hall 'P 1'
loop_
_atom_site_label
_atom_site_type_symbol
_atom_site_fract_x
_atom_site_fract_y
_atom_site_fract_z
Pa1 Pa 0.058 0.308 0.750
Pa2 Pa 0.308 0.058 0.250
Pa3 Pa 0.692 0.942 0.750
Pa4 Pa 0.942 0.692 0.250
Fe1 Fe 0.375 0.625 0.750
Fe2 Fe 0.625 0.375 0.250
Bi1 Bi 0.193 0.443 0.750
Bi2 Bi 0.443 0.193 0.250
Bi3 Bi 0.557 0.807 0.750
Bi4 Bi 0.807 0.557 0.250
# - Calculated volume: 250.6 Å³/cell
# - Theoretical density: 12.4 g cm⁻³
# - E_tot: -7.129 eV per atom

(11)
# HfSc2Ag2, optimized geometry, DFT PBE-GGA
data_HfSc2Ag2
_chemical_formula_sum 'Hf2 Sc4 Ag4'
_cell_length_a 8.074
_cell_length_b 8.074
_cell_length_c 3.195
_cell_angle_alpha 90.00
_cell_angle_beta 90.00
_cell_angle_gamma 90.00
_space_group_name_H-M_alt 'P 1'
_space_group_IT_number 1
_space_group_name_Hall 'P 1'
loop_
_atom_site_label
_atom_site_type_symbol
_atom_site_fract_x
_atom_site_fract_y
_atom_site_fract_z
Hf1 Hf 0.000 0.000 0.000
Hf2 Hf 0.500 0.500 0.000
Sc1 Sc 0.150 0.350 0.000
Sc2 Sc 0.350 0.850 0.000
Sc3 Sc 0.650 0.150 0.000
Sc4 Sc 0.850 0.650 0.000
Ag1 Ag 0.147 0.647 0.500
Ag2 Ag 0.353 0.147 0.500
Ag3 Ag 0.647 0.853 0.500
Ag4 Ag 0.853 0.353 0.500
# - Calculated volume: 208.3 Å³/cell
# - Theoretical density: 7.7 g cm⁻³
# - E_tot: -5.613 eV per atom

(12)
# LaHgF2, optimized geometry, DFT PBE-GGA
data_LaHgF2
_chemical_formula_sum 'La2 Hg2 F4'
_cell_length_a 8.314
_cell_length_b 8.314
_cell_length_c 8.314
_cell_angle_alpha 141.92
_cell_angle_beta 141.92
_cell_angle_gamma 54.94
_space_group_name_H-M_alt 'P 1'
_space_group_IT_number 1
_space_group_name_Hall 'P 1'
loop_
_atom_site_label
_atom_site_type_symbol
_atom_site_fract_x
_atom_site_fract_y
_atom_site_fract_z
La1 La 0.000 0.000 0.000
La2 La 0.750 0.250 0.500
Hg1 Hg 0.250 0.750 0.500
Hg2 Hg 0.500 0.500 0.000
F1 F 0.375 0.149 0.274
F2 F 0.851 0.125 0.226
F3 F 0.875 0.101 0.726
F4 F 0.899 0.625 0.774
# - Calculated volume: 217.0 Å³/cell
# - ΔE_f (raw): -10.150 eV per formula unit
# - Theoretical density: 5.8 g cm⁻³